A plane-wave DFT calculation with GGA-PBE was carried out for a geometry-optimized SiSnSeN2 structure.

Computed properties:
ΔE_f (raw): 1393 meV/atom
SG: No. 123
ΔE to the lowest computed polymorph: 18.62 kcal/mol of atoms

Structure (extended XYZ):
```
5
Lattice="4.043 0.000 0.000 0.000 4.043 0.000 0.000 0.000 5.712" Properties=species:S:1:pos:R:3 pbc="T T T"
Si 0.000 0.000 0.000
Sn 2.021 2.021 2.856
Se 2.021 2.021 0.000
N 0.000 2.021 2.856
N 2.021 0.000 2.856
```

A plane-wave DFT calculation with GGA-PBE was carried out for a geometry-optimized SiSnSe2N structure.

Computed properties:
ΔE_f (raw): 934 meV/atom
SG: No. 123
ΔE to the lowest computed polymorph: 19.96 kcal/mol of atoms

Structure (extended XYZ):
```
5
Lattice="5.340 0.000 0.000 0.000 5.340 0.000 0.000 0.000 4.006" Properties=species:S:1:pos:R:3 pbc="T T T"
Si 0.000 0.000 0.000
Sn 2.670 2.670 2.003
Se 0.000 2.670 2.003
Se 2.670 0.000 2.003
N 2.670 2.670 0.000
```

A plane-wave DFT calculation with GGA-PBE was carried out for a geometry-optimized SiSnSeN2 structure.

Computed properties:
ΔE_f (raw): 721 meV/atom
SG: No. 123
ΔE to the lowest computed polymorph: 3.12 kcal/mol of atoms

Structure (extended XYZ):
```
5
Lattice="3.649 0.000 0.000 0.000 3.649 0.000 0.000 0.000 6.545" Properties=species:S:1:pos:R:3 pbc="T T T"
Si 0.000 0.000 0.000
Sn 0.000 0.000 3.273
Se 1.824 1.824 3.273
N 0.000 1.824 0.000
N 1.824 0.000 0.000
```

A plane-wave DFT calculation with GGA-PBE was carried out for a geometry-optimized TaSiSeN2 structure.

Computed properties:
ΔE_f (raw): 725 meV/atom
SG: No. 123
ΔE to the lowest computed polymorph: 8.74 kcal/mol of atoms

Structure (extended XYZ):
```
5
Lattice="3.644 0.000 0.000 0.000 3.644 0.000 0.000 0.000 4.855" Properties=species:S:1:pos:R:3 pbc="T T T"
Ta 0.000 0.000 0.000
Si 1.822 1.822 2.428
Se 1.822 1.822 0.000
N 0.000 1.822 2.428
N 1.822 0.000 2.428
```

A plane-wave DFT calculation with GGA-PBE was carried out for a geometry-optimized TaSiSeN2 structure.

Computed properties:
ΔE_f (raw): 346 meV/atom
SG: No. 123
ΔE to the lowest computed polymorph: 0.00 kcal/mol of atoms

Structure (extended XYZ):
```
5
Lattice="3.997 0.000 0.000 0.000 3.997 0.000 0.000 0.000 5.382" Properties=species:S:1:pos:R:3 pbc="T T T"
Ta 0.000 0.000 0.000
Si 1.999 1.999 2.691
Se 0.000 0.000 2.691
N 0.000 1.999 0.000
N 1.999 0.000 0.000
```

A plane-wave DFT calculation with GGA-PBE was carried out for a geometry-optimized SiTcSeN2 structure.

Computed properties:
ΔE_f (raw): 715 meV/atom
SG: No. 123
ΔE to the lowest computed polymorph: 0.00 kcal/mol of atoms

Structure (extended XYZ):
```
5
Lattice="3.844 0.000 0.000 0.000 3.844 0.000 0.000 0.000 5.338" Properties=species:S:1:pos:R:3 pbc="T T T"
Si 0.000 0.000 0.000
Tc 1.922 1.922 2.669
Se 1.922 1.922 0.000
N 0.000 1.922 2.669
N 1.922 0.000 2.669
```

A plane-wave DFT calculation with GGA-PBE was carried out for a geometry-optimized SiTcSeN2 structure.

Computed properties:
ΔE_f (raw): 860 meV/atom
SG: No. 123
ΔE to the lowest computed polymorph: 3.33 kcal/mol of atoms

Structure (extended XYZ):
```
5
Lattice="3.481 0.000 0.000 0.000 3.481 0.000 0.000 0.000 6.752" Properties=species:S:1:pos:R:3 pbc="T T T"
Si 0.000 0.000 0.000
Tc 1.741 1.741 3.376
Se 0.000 0.000 3.376
N 0.000 1.741 0.000
N 1.741 0.000 0.000
```

A plane-wave DFT calculation with GGA-PBE was carried out for a geometry-optimized SiTcSe2N structure.

Computed properties:
ΔE_f (raw): 585 meV/atom
SG: No. 123
ΔE to the lowest computed polymorph: 2.73 kcal/mol of atoms

Structure (extended XYZ):
```
5
Lattice="5.056 0.000 0.000 0.000 5.056 0.000 0.000 0.000 3.246" Properties=species:S:1:pos:R:3 pbc="T T T"
Si 0.000 0.000 0.000
Tc 2.528 2.528 1.623
Se 0.000 2.528 0.000
Se 2.528 0.000 0.000
N 0.000 0.000 1.623
```

A plane-wave DFT calculation with GGA-PBE was carried out for a geometry-optimized SiTcSe2N structure.

Computed properties:
ΔE_f (raw): 467 meV/atom
SG: No. 123
ΔE to the lowest computed polymorph: 0.00 kcal/mol of atoms

Structure (extended XYZ):
```
5
Lattice="5.065 0.000 0.000 0.000 5.065 0.000 0.000 0.000 3.694" Properties=species:S:1:pos:R:3 pbc="T T T"
Si 0.000 0.000 0.000
Tc 2.533 2.533 1.847
Se 0.000 2.533 1.847
Se 2.533 0.000 1.847
N 2.533 2.533 0.000
```

A plane-wave DFT calculation with GGA-PBE was carried out for a geometry-optimized SiTeSe2N structure.

Computed properties:
ΔE_f (raw): 287 meV/atom
SG: No. 123
ΔE to the lowest computed polymorph: 0.00 kcal/mol of atoms

Structure (extended XYZ):
```
5
Lattice="5.277 0.000 0.000 0.000 5.277 0.000 0.000 0.000 3.340" Properties=species:S:1:pos:R:3 pbc="T T T"
Si 0.000 0.000 0.000
Te 2.639 2.639 1.670
Se 0.000 2.639 0.000
Se 2.639 0.000 0.000
N 0.000 0.000 1.670
```

A plane-wave DFT calculation with GGA-PBE was carried out for a geometry-optimized SiTeSe2N structure.

Computed properties:
ΔE_f (raw): 1099 meV/atom
SG: No. 123
ΔE to the lowest computed polymorph: 18.72 kcal/mol of atoms

Structure (extended XYZ):
```
5
Lattice="5.400 0.000 0.000 0.000 5.400 0.000 0.000 0.000 3.943" Properties=species:S:1:pos:R:3 pbc="T T T"
Si 0.000 0.000 0.000
Te 2.700 2.700 1.971
Se 0.000 2.700 1.971
Se 2.700 0.000 1.971
N 2.700 2.700 0.000
```

A plane-wave DFT calculation with GGA-PBE was carried out for a geometry-optimized TiSiSe2N structure.

Computed properties:
ΔE_f (raw): 106 meV/atom
SG: No. 123
ΔE to the lowest computed polymorph: 1.20 kcal/mol of atoms

Structure (extended XYZ):
```
5
Lattice="5.106 0.000 0.000 0.000 5.106 0.000 0.000 0.000 3.729" Properties=species:S:1:pos:R:3 pbc="T T T"
Ti 0.000 0.000 0.000
Si 2.553 2.553 1.865
Se 0.000 2.553 0.000
Se 2.553 0.000 0.000
N 0.000 0.000 1.865
```

A plane-wave DFT calculation with GGA-PBE was carried out for a geometry-optimized TiSiSe2N structure.

Computed properties:
ΔE_f (raw): 55 meV/atom
SG: No. 123
ΔE to the lowest computed polymorph: 0.00 kcal/mol of atoms

Structure (extended XYZ):
```
5
Lattice="5.009 0.000 0.000 0.000 5.009 0.000 0.000 0.000 3.308" Properties=species:S:1:pos:R:3 pbc="T T T"
Ti 0.000 0.000 0.000
Si 2.505 2.505 1.654
Se 0.000 2.505 1.654
Se 2.505 0.000 1.654
N 2.505 2.505 0.000
```

A plane-wave DFT calculation with GGA-PBE was carried out for a geometry-optimized TlSiSe2N structure.

Computed properties:
ΔE_f (raw): 110 meV/atom
SG: No. 123
ΔE to the lowest computed polymorph: 0.00 kcal/mol of atoms

Structure (extended XYZ):
```
5
Lattice="5.552 0.000 0.000 0.000 5.552 0.000 0.000 0.000 3.262" Properties=species:S:1:pos:R:3 pbc="T T T"
Tl 0.000 0.000 0.000
Si 2.776 2.776 1.631
Se 0.000 2.776 1.631
Se 2.776 0.000 1.631
N 2.776 2.776 0.000
```

A plane-wave DFT calculation with GGA-PBE was carried out for a geometry-optimized TlSiSeN2 structure.

Computed properties:
ΔE_f (raw): 646 meV/atom
SG: No. 123
ΔE to the lowest computed polymorph: 0.00 kcal/mol of atoms

Structure (extended XYZ):
```
5
Lattice="3.681 0.000 0.000 0.000 3.681 0.000 0.000 0.000 5.829" Properties=species:S:1:pos:R:3 pbc="T T T"
Tl 0.000 0.000 0.000
Si 1.840 1.840 2.915
Se 1.840 1.840 0.000
N 0.000 1.840 2.915
N 1.840 0.000 2.915
```

A plane-wave DFT calculation with GGA-PBE was carried out for a geometry-optimized TlSiSe2N structure.

Computed properties:
ΔE_f (raw): 1371 meV/atom
SG: No. 123
ΔE to the lowest computed polymorph: 29.07 kcal/mol of atoms

Structure (extended XYZ):
```
5
Lattice="5.468 0.000 0.000 0.000 5.468 0.000 0.000 0.000 4.245" Properties=species:S:1:pos:R:3 pbc="T T T"
Tl 0.000 0.000 0.000
Si 2.734 2.734 2.123
Se 0.000 2.734 0.000
Se 2.734 0.000 0.000
N 0.000 0.000 2.123
```

A plane-wave DFT calculation with GGA-PBE was carried out for a geometry-optimized TlSiSeN2 structure.

Computed properties:
ΔE_f (raw): 1941 meV/atom
SG: No. 123
ΔE to the lowest computed polymorph: 29.85 kcal/mol of atoms

Structure (extended XYZ):
```
5
Lattice="4.291 0.000 0.000 0.000 4.291 0.000 0.000 0.000 5.913" Properties=species:S:1:pos:R:3 pbc="T T T"
Tl 0.000 0.000 0.000
Si 2.145 2.145 2.957
Se 0.000 0.000 2.957
N 0.000 2.145 0.000
N 2.145 0.000 0.000
```

A plane-wave DFT calculation with GGA-PBE was carried out for a geometry-optimized VSi2SeN structure.

Computed properties:
ΔE_f (raw): 711 meV/atom
SG: No. 123

Structure (extended XYZ):
```
5
Lattice="3.769 0.000 0.000 0.000 3.769 0.000 0.000 0.000 4.818" Properties=species:S:1:pos:R:3 pbc="T T T"
V 0.000 0.000 0.000
Si 0.000 1.884 2.409
Si 1.884 0.000 2.409
Se 1.884 1.884 0.000
N 1.884 1.884 2.409
```

A plane-wave DFT calculation with GGA-PBE was carried out for a geometry-optimized VSiSe2N structure.

Computed properties:
ΔE_f (raw): 239 meV/atom
SG: No. 123
ΔE to the lowest computed polymorph: 1.01 kcal/mol of atoms

Structure (extended XYZ):
```
5
Lattice="5.061 0.000 0.000 0.000 5.061 0.000 0.000 0.000 3.284" Properties=species:S:1:pos:R:3 pbc="T T T"
V 0.000 0.000 0.000
Si 2.531 2.531 1.642
Se 0.000 2.531 1.642
Se 2.531 0.000 1.642
N 2.531 2.531 0.000
```

A plane-wave DFT calculation with GGA-PBE was carried out for a geometry-optimized VSiSe2N structure.

Computed properties:
ΔE_f (raw): 195 meV/atom
SG: No. 123
ΔE to the lowest computed polymorph: 0.00 kcal/mol of atoms

Structure (extended XYZ):
```
5
Lattice="4.987 0.000 0.000 0.000 4.987 0.000 0.000 0.000 3.608" Properties=species:S:1:pos:R:3 pbc="T T T"
V 0.000 0.000 0.000
Si 2.494 2.494 1.804
Se 0.000 2.494 0.000
Se 2.494 0.000 0.000
N 0.000 0.000 1.804
```

A plane-wave DFT calculation with GGA-PBE was carried out for a geometry-optimized ZnSiSeN2 structure.

Computed properties:
ΔE_f (raw): 1526 meV/atom
SG: No. 123
ΔE to the lowest computed polymorph: 26.88 kcal/mol of atoms

Structure (extended XYZ):
```
5
Lattice="3.881 0.000 0.000 0.000 3.881 0.000 0.000 0.000 5.612" Properties=species:S:1:pos:R:3 pbc="T T T"
Zn 0.000 0.000 0.000
Si 1.941 1.941 2.806
Se 0.000 0.000 2.806
N 0.000 1.941 0.000
N 1.941 0.000 0.000
```

A plane-wave DFT calculation with GGA-PBE was carried out for a geometry-optimized Zn2SiSeN structure.

Computed properties:
ΔE_f (raw): 374 meV/atom
SG: No. 123

Structure (extended XYZ):
```
5
Lattice="4.003 0.000 0.000 0.000 4.003 0.000 0.000 0.000 5.092" Properties=species:S:1:pos:R:3 pbc="T T T"
Zn 0.000 2.002 0.000
Zn 2.002 0.000 0.000
Si 0.000 0.000 2.546
Se 2.002 2.002 2.546
N 0.000 0.000 0.000
```

A plane-wave DFT calculation with GGA-PBE was carried out for a geometry-optimized ZnSiSeN2 structure.

Computed properties:
ΔE_f (raw): 361 meV/atom
SG: No. 123
ΔE to the lowest computed polymorph: 0.00 kcal/mol of atoms

Structure (extended XYZ):
```
5
Lattice="3.467 0.000 0.000 0.000 3.467 0.000 0.000 0.000 6.591" Properties=species:S:1:pos:R:3 pbc="T T T"
Zn 0.000 0.000 0.000
Si 1.733 1.733 3.296
Se 1.733 1.733 0.000
N 0.000 1.733 3.296
N 1.733 0.000 3.296
```

A plane-wave DFT calculation with GGA-PBE was carried out for a geometry-optimized ZrSiSeN2 structure.

Computed properties:
ΔE_f (raw): 103 meV/atom
SG: No. 123
ΔE to the lowest computed polymorph: 0.00 kcal/mol of atoms

Structure (extended XYZ):
```
5
Lattice="3.721 0.000 0.000 0.000 3.721 0.000 0.000 0.000 4.797" Properties=species:S:1:pos:R:3 pbc="T T T"
Zr 0.000 0.000 0.000
Si 1.861 1.861 2.399
Se 1.861 1.861 0.000
N 0.000 1.861 2.399
N 1.861 0.000 2.399
```

A plane-wave DFT calculation with GGA-PBE was carried out for a geometry-optimized ZrSiSeN2 structure.

Computed properties:
ΔE_f (raw): 515 meV/atom
SG: No. 123
ΔE to the lowest computed polymorph: 9.51 kcal/mol of atoms

Structure (extended XYZ):
```
5
Lattice="4.115 0.000 0.000 0.000 4.115 0.000 0.000 0.000 5.621" Properties=species:S:1:pos:R:3 pbc="T T T"
Zr 0.000 0.000 0.000
Si 2.057 2.057 2.811
Se 0.000 0.000 2.811
N 0.000 2.057 0.000
N 2.057 0.000 0.000
```

A plane-wave DFT calculation with GGA-PBE was carried out for a geometry-optimized Sm6Se5N structure.

Computed properties:
ΔE_f (raw): -1739 meV/atom
SG: No. 12

Structure (extended XYZ):
```
12
Lattice="3.545 -6.140 0.000 3.545 6.140 0.000 -2.342 0.000 6.675" Properties=species:S:1:pos:R:3 pbc="T T T"
Sm -0.124 1.810 4.809
Sm 0.935 0.000 1.811
Sm -0.124 -1.810 4.809
Sm 4.872 1.810 1.865
Sm 3.813 0.000 4.864
Sm 4.872 -1.810 1.865
Se 3.545 3.987 0.000
Se 2.374 2.037 3.337
Se 3.545 0.000 0.000
Se 2.374 -2.037 3.337
Se 3.545 -3.987 0.000
N -1.171 0.000 3.337
```

A plane-wave DFT calculation with GGA-PBE was carried out for a geometry-optimized Sm3Se3N structure.

Computed properties:
ΔE_f (raw): -1821 meV/atom
SG: No. 62
ΔE to the lowest computed polymorph: 0.00 kcal/mol of atoms

Structure (extended XYZ):
```
28
Lattice="12.809 0.000 0.000 0.000 4.066 0.000 0.000 0.000 13.439" Properties=species:S:1:pos:R:3 pbc="T T T"
Sm 0.547 1.016 2.030
Sm 0.834 1.016 8.505
Sm 2.634 1.016 11.555
Sm 3.771 3.049 4.836
Sm 5.571 3.049 1.785
Sm 5.858 3.049 8.750
Sm 6.951 1.016 4.689
Sm 7.238 1.016 11.654
Sm 9.038 1.016 8.603
Sm 10.175 3.049 1.884
Sm 11.975 3.049 4.934
Sm 12.262 3.049 11.409
Se 1.224 1.016 5.293
Se 1.670 3.049 13.370
Se 2.868 3.049 9.253
Se 3.536 1.016 2.533
Se 4.734 1.016 6.651
Se 5.180 3.049 12.013
Se 7.629 1.016 1.426
Se 8.075 3.049 6.789
Se 9.273 3.049 10.906
Se 9.941 1.016 4.186
Se 11.139 1.016 0.069
Se 11.584 3.049 8.146
N 0.489 1.016 10.713
N 5.916 3.049 3.994
N 6.893 1.016 9.445
N 12.320 3.049 2.726
```